# 1
Here is a relaxed structure of CaTb2CeHg4 from Alexandria via LeMat-Bulk. Energies are from PBE.

The structure belongs to space group R-3m (No. 166, hexagonal axes); the cell edges are 5.3278, 5.3278 and 26.2503 Å and the angles 90.00°, 90.00° and 120.00°. The distinct sites, in fractional coordinates, are Ca at (0.0000, 0.0000, 0.0000), Tb at (0.0000, 0.0000, 0.2518), Ce at (0.0000, 0.0000, 0.5000), Hg at (0.0000, 0.0000, 0.1242) and Hg at (0.0000, 0.0000, 0.3752).

The crystal system is trigonal.

# 2
Here is a relaxed structure of Nd2HoPb from Alexandria via LeMat-Bulk. Energies are from PBE.

The structure belongs to space group P2_1/m (No. 11); the cell edges are 4.717, 4.625 and 11.986 Å and the angles 90.00°, 101.37° and 90.00°. The distinct sites, in fractional coordinates, are Nd at (0.061, 0.250, 0.123), Nd at (0.430, 0.250, 0.860), Ho at (0.305, 0.750, 0.611) and Pb at (0.174, 0.750, 0.345).

The crystal system is monoclinic.

# 3
Here is a relaxed structure of CdIn6Pb from Alexandria via LeMat-Bulk. Energies are from PBE.

The structure belongs to space group P4/mmm (No. 123); the cell edges are 4.933, 4.933 and 8.960 Å and the angles 90.00°, 90.00° and 90.00°. The distinct sites, in fractional coordinates, are Cd at (0.000, 0.000, 0.000), In at (0.000, 0.500, 0.240), In at (0.500, 0.500, 0.000), In at (0.500, 0.500, 0.500) and Pb at (0.000, 0.000, 0.500).

The crystal system is tetragonal.

# 4
Here is a relaxed structure of CeZn11Os from Alexandria via LeMat-Bulk. Energies are from PBE.

The structure belongs to space group C2/m (No. 12); the cell edges are 5.142, 12.971 and 6.733 Å and the angles 90.00°, 111.53° and 90.00°. The distinct sites, in fractional coordinates, are Ce at (0.000, 0.000, 0.000), Zn at (0.000, 0.500, 0.500), Zn at (0.114, 0.388, 0.220), Zn at (0.159, 0.174, 0.358), Zn at (0.250, 0.250, 0.000) and Os at (0.000, 0.000, 0.500).

The crystal system is monoclinic.

# 5
Here is a relaxed structure of BaPrMg2Tl4 from Alexandria via LeMat-Bulk. Energies are from PBE.

The structure belongs to space group R-3m (No. 166, hexagonal axes); the cell edges are 4.9780, 4.9780 and 34.5298 Å and the angles 90.00°, 90.00° and 120.00°. The distinct sites, in fractional coordinates, are Ba at (0.0000, 0.0000, 0.0000), Pr at (0.0000, 0.0000, 0.5000), Mg at (0.0000, 0.0000, 0.2374), Tl at (0.0000, 0.0000, 0.1194) and Tl at (0.0000, 0.0000, 0.3955).

The crystal system is trigonal.

# 6
Here is a relaxed structure of CaSc2AgAu from Alexandria via LeMat-Bulk. Energies are from PBE.

The structure belongs to space group P4/mmm (No. 123); the cell edges are 5.156, 5.156 and 5.206 Å and the angles 90.00°, 90.00° and 90.00°. The distinct sites, in fractional coordinates, are Ca at (0.000, 0.000, 0.000), Sc at (0.000, 0.500, 0.500), Ag at (0.500, 0.500, 0.500) and Au at (0.500, 0.500, 0.000).

The crystal system is tetragonal.

Spin magnetization / μB/atom: 0.15, 0.00, 0.00, 0.06, 0.00, 0.00
Energy of formation from the pure elements / kJ per mole of atoms: -44, -23, 4, -12, -28, 21
Energy / eV/atom: -2.752, -4.695, -2.595, -2.519, -2.708, -3.945